Density functional theory data (GGA-PBE) for a geometry-optimized La2Mo2N7 structure.

Volume   13.73 A^3/atom
E_tot   -8.76 eV per atom
Energy relative to the elements, uncorrected   -598.8 meV per atom
Theoretical density   6.2 g/cm³
Total magnetization   0.00 Bohr magnetons per cell

Lattice parameters (Å, degrees): 8.272 9.442 3.911 90.00 98.61 90.00
Space group C2/m (No. 12)
Unique sites:
La1 0.000 0.228 0.000 [4 per cell]
Mo1 0.231 0.500 0.510 [4 per cell]
N1 0.000 0.500 0.500 [2 per cell]
N2 0.176 0.000 0.034 [4 per cell]
N3 0.215 0.204 0.604 [8 per cell]

***

Density functional theory data (GGA-PBE) for a geometry-optimized K2BiI6 structure.

Polymorph energy (0 for the lowest one)   0.053 eV/atom
Volume   54.29 A^3/atom
E_tot   -2.45 eV per atom
Energy relative to the elements, uncorrected   -743.1 meV per atom
Theoretical density   3.6 g/cm³
Total magnetization   1.60 Bohr magnetons per cell

Lattice parameters (Å, degrees): 7.977 7.977 15.358 90.00 90.00 90.00
Space group P4_2/mnm (No. 136)
Unique sites:
K1 0.000 0.000 0.169 [4 per cell]
Bi1 0.000 0.000 0.500 [2 per cell]
I1 0.189 0.189 0.354 [8 per cell]
I2 0.226 0.226 0.000 [4 per cell]

***

Density functional theory data (GGA-PBE) for a geometry-optimized NaPu2Au6 structure.

Volume   21.43 A^3/atom
E_tot   -5.91 eV per atom
Theoretical density   14.6 g/cm³
Total magnetization   11.55 Bohr magnetons per cell

Lattice parameters (Å, degrees): 8.4284 8.4284 3.1350 90.00 90.00 120.00
Space group P6/mmm (No. 191)
Unique sites:
Na1 0.0000 0.0000 0.0000 [1 per cell]
Pu1 0.3333 0.6667 0.0000 [2 per cell]
Au1 0.0000 0.3319 0.5000 [6 per cell]